[1]
# PBE Ta2SbAs, optimized geometry
# Magnetization ... 0.00 μB/f.u.
# ΔE_f (raw) ... -0.271 eV per atom
# DOS at the Fermi energy ... 1.04 states/eV per cell
# Uncorrected energy ... -33.56 eV per cell
data_Ta2SbAs
_cell_length_a 3.475
_cell_length_b 3.475
_cell_length_c 6.379
_cell_angle_alpha 90.00
_cell_angle_beta 90.00
_cell_angle_gamma 90.00
_space_group_name_H-M_alt 'P 4 m m'
_space_group_IT_number 99
loop_
_space_group_symop_operation_xyz
'x,y,z'
'-y,x,z'
'-x,-y,z'
'y,-x,z'
'-x,y,z'
'y,x,z'
'x,-y,z'
'-y,-x,z'
loop_
_atom_site_label
_atom_site_fract_x
_atom_site_fract_y
_atom_site_fract_z
Ta1 0.000 0.000 0.000
Ta2 0.500 0.500 0.269
Sb1 0.500 0.500 0.770
As1 0.000 0.000 0.431

[2]
# PBE Cd2InTc, optimized geometry
# Magnetization ... 0.00 μB/f.u.
# Energy relative to the elements ... 0.36 eV/atom
# DOS at the Fermi energy ... 2.16 states/eV per cell
# Uncorrected energy ... -13.51 eV per cell
data_Cd2InTc
_cell_length_a 2.868
_cell_length_b 5.328
_cell_length_c 5.141
_cell_angle_alpha 90.00
_cell_angle_beta 91.50
_cell_angle_gamma 90.00
_space_group_name_H-M_alt 'P 1 2/m 1'
_space_group_IT_number 10
loop_
_space_group_symop_operation_xyz
'x,y,z'
'-x,-y,-z'
'-x,y,-z'
'x,-y,z'
loop_
_atom_site_label
_atom_site_fract_x
_atom_site_fract_y
_atom_site_fract_z
Cd1 0.245 0.000 0.242
In1 0.000 0.500 0.500
Tc1 0.500 0.500 0.000